Entry 1:
CoTeO2F: relaxed, PBE with a Hubbard U. Values from VASP.

Properties
Its space group is P4/mmm (123). Its energy is -4.6107 eV per atom.

```
&SYSTEM
  ibrav = 0, nat = 5, ntyp = 4
/
ATOMIC_SPECIES
Te 127.60 Te.upf
Co 58.93 Co.upf
O 16.00 O.upf
F 19.00 F.upf
ATOMIC_POSITIONS angstrom
Te 2.593 -2.101 -0.757
Co 0.000 0.000 0.000
O 1.402 0.360 -1.340
O -0.190 -1.838 -0.693
F 1.381 -0.624 1.276
CELL_PARAMETERS angstrom
-0.380 -3.675 -1.386
2.804 0.721 -2.681
2.761 -1.248 2.553
```

***

Entry 2:
Co2TeOF: relaxed, PBE with a Hubbard U. Values from VASP.

Properties
Its space group is P4/mmm (123). Its energy is -4.1709 eV per atom.

```
&SYSTEM
  ibrav = 0, nat = 5, ntyp = 4
/
ATOMIC_SPECIES
Te 127.60 Te.upf
Co 58.93 Co.upf
O 16.00 O.upf
F 19.00 F.upf
ATOMIC_POSITIONS angstrom
Te 0.000 3.480 0.000
Co 0.000 0.000 1.856
Co 1.856 0.000 0.000
O 0.000 0.000 0.000
F 1.856 3.480 1.856
CELL_PARAMETERS angstrom
3.713 0.000 0.000
0.000 6.960 0.000
0.000 0.000 3.713
```

***

Entry 3:
TiCoO2F: relaxed, PBE with a Hubbard U. Values from VASP.

Properties
Its space group is P4/mmm (123). Its energy is -6.8247 eV per atom.

```
&SYSTEM
  ibrav = 0, nat = 5, ntyp = 4
/
ATOMIC_SPECIES
F 19.00 F.upf
Co 58.93 Co.upf
O 16.00 O.upf
Ti 47.87 Ti.upf
ATOMIC_POSITIONS angstrom
F 1.729 -0.603 0.693
Co 0.448 -2.089 2.597
O -0.671 -1.811 0.099
O -0.610 0.325 1.806
Ti 0.000 0.000 0.000
CELL_PARAMETERS angstrom
-1.220 0.649 3.611
-1.341 -3.621 0.198
3.458 -1.205 1.385
```

***

Entry 4:
TiCoO2F: relaxed, PBE with a Hubbard U. Values from VASP.

Properties
Its space group is P4/mmm (123). Its energy is -6.0956 eV per atom.

```
&SYSTEM
  ibrav = 0, nat = 5, ntyp = 4
/
ATOMIC_SPECIES
F 19.00 F.upf
Co 58.93 Co.upf
O 16.00 O.upf
Ti 47.87 Ti.upf
ATOMIC_POSITIONS angstrom
F 0.000 0.000 1.839
Co 0.000 0.000 0.000
O 0.000 1.890 0.000
O 1.890 0.000 0.000
Ti 1.890 1.890 1.839
CELL_PARAMETERS angstrom
3.781 0.000 0.000
0.000 3.781 0.000
0.000 0.000 3.678
```

***

The highest energy belongs to which entry?
Co2TeOF

***

Which formula does entry 3 have?
TiCoO2F

***

Number 2 is which compound?
Co2TeOF